No. 1
Below is an optimized crystal structure of CsYNiS3, with properties calculated at the PBE level.

Output
ΔE to the lowest computed polymorph: 18 meV per atom
space-group type: Pnma, No. 62

The structure in POSCAR format:
```
CsYNiS3
1.0
10.528 0.000 0.000
0.000 3.976 0.000
0.000 0.000 15.178
Cs Ni S Y
4 4 12 4
Cartesian
2.563 2.982 0.184
7.827 2.982 7.405
2.701 0.994 7.773
7.965 0.994 14.994
7.987 2.982 3.245
2.723 2.982 4.344
7.805 0.994 10.834
2.541 0.994 11.933
6.065 2.982 2.040
9.919 2.982 2.062
2.718 0.994 3.143
7.982 0.994 4.446
4.655 2.982 5.527
0.801 2.982 5.549
9.727 0.994 9.629
5.873 0.994 9.651
2.546 2.982 10.732
7.809 2.982 12.035
0.609 0.994 13.116
4.463 0.994 13.138
5.355 0.994 3.774
0.091 0.994 3.815
10.436 2.982 11.363
5.172 2.982 11.404
```



No. 2
Below is an optimized crystal structure of BaLaCuTeSeS, with properties calculated at the PBE level.

Output
energy: -30.25 eV per formula unit
space-group type: Pnma, No. 62

The structure in POSCAR format:
```
BaLaCuTeSeS
1.0
11.750 0.000 0.000
0.000 4.453 0.000
0.000 0.000 12.645
Ba Cu La S Se Te
4 4 4 4 4 4
Cartesian
3.431 1.113 0.191
9.306 1.113 6.131
2.444 3.340 6.514
8.319 3.340 12.454
8.885 1.113 2.693
3.010 1.113 3.630
8.740 3.340 9.015
2.865 3.340 9.953
0.151 3.340 2.371
6.026 3.340 3.952
5.724 1.113 8.693
11.599 1.113 10.275
3.178 3.340 2.590
9.053 3.340 3.733
2.697 1.113 8.913
8.572 1.113 10.055
10.569 1.113 0.828
4.694 1.113 5.495
7.056 3.340 7.150
1.181 3.340 11.818
6.458 1.113 1.701
0.583 1.113 4.622
11.167 3.340 8.024
5.292 3.340 10.944
```



No. 3
Below is an optimized crystal structure of Li2Mg2In2CoAu, with properties calculated at the PBE level.

Output
energy: -24.98 eV per formula unit
space-group type: P-4m2, No. 115

The structure in POSCAR format:
```
Li2Mg2In2CoAu
1.0
4.537 0.000 0.000
0.000 4.537 0.000
0.000 0.000 6.586
Au Co In Li Mg
1 1 2 2 2
Cartesian
0.000 0.000 0.000
2.269 2.269 3.293
0.000 2.269 1.823
2.269 0.000 4.762
2.269 2.269 0.000
0.000 0.000 3.293
2.269 0.000 1.717
0.000 2.269 4.869
```



No. 4
Below is an optimized crystal structure of MgIr3N, with properties calculated at the PBE level.

Output
energy: -35.15 eV per formula unit
space-group type: Pm-3m, No. 221

The structure in POSCAR format:
```
MgIr3N
1.0
-0.796 3.940 0.809
-4.014 -0.831 0.095
0.256 -0.774 4.018
Ir Mg N
3 1 1
Cartesian
-2.405 1.554 0.452
-0.270 1.583 2.414
-1.879 -0.802 2.057
0.000 0.000 0.000
-2.277 1.168 2.461
```



No. 5
Below is an optimized crystal structure of AcHgAsO, with properties calculated at the PBE level.

Output
ΔE to the lowest computed polymorph: 479 meV per atom
space-group type: P4/nmm, No. 129

The structure in POSCAR format:
```
AcHgAsO
1.0
6.545 0.000 0.000
0.000 6.545 0.000
0.000 0.000 4.878
Ac As Hg O
2 2 2 2
Cartesian
4.909 1.636 2.439
1.636 4.909 2.439
4.909 4.909 2.419
1.636 1.636 2.460
1.636 1.636 0.020
4.909 4.909 4.858
4.909 1.636 0.000
1.636 4.909 0.000
```



No. 6
Below is an optimized crystal structure of PmCdAsO, with properties calculated at the PBE level.

Output
ΔE to the lowest computed polymorph: 317 meV per atom
space-group type: Pmc2_1, No. 26

The structure in POSCAR format:
```
PmCdAsO
1.0
4.119 0.000 0.000
0.000 6.257 0.000
0.000 0.000 6.976
As Cd O Pm
2 2 2 2
Cartesian
0.000 4.493 2.241
0.000 1.764 5.729
0.000 0.665 3.232
0.000 5.592 6.720
2.060 1.684 2.619
2.060 4.573 6.107
2.060 2.823 0.656
2.060 3.433 4.144
```



No. 7
Below is an optimized crystal structure of BaPAuO, with properties calculated at the PBE level.

Output
ΔE to the lowest computed polymorph: 476 meV per atom
space-group type: P4/nmm, No. 129

The structure in POSCAR format:
```
BaPAuO
1.0
6.961 0.000 0.000
0.000 6.961 0.000
0.000 0.000 4.529
Au Ba O P
2 2 2 2
Cartesian
5.221 5.221 0.011
1.740 1.740 4.519
5.221 1.740 2.265
1.740 5.221 2.265
5.221 1.740 0.000
1.740 5.221 0.000
1.740 1.740 2.254
5.221 5.221 2.275
```



No. 8
Below is an optimized crystal structure of LiMg2Cu, with properties calculated at the PBE level.

Output
energy: -9.00 eV per formula unit
space-group type: P4/mmm, No. 123

The structure in POSCAR format:
```
LiMg2Cu
1.0
-2.255 -1.015 -3.767
3.825 -1.432 -1.904
-0.566 -3.056 1.162
Cu Li Mg
1 1 2
Cartesian
0.785 -1.223 -2.836
0.000 0.000 0.000
-1.410 -2.035 -1.303
1.630 -2.244 -0.371
```



No. 9
Below is an optimized crystal structure of LiNdIr, with properties calculated at the PBE level.

Output
ΔE to the lowest computed polymorph: 356 meV per atom
space-group type: F-43m, No. 216

The structure in POSCAR format:
```
LiNdIr
1.0
0.000 3.289 3.289
3.289 0.000 3.289
3.289 3.289 0.000
Ir Li Nd
1 1 1
Cartesian
1.644 1.644 1.644
4.933 4.933 4.933
0.000 0.000 0.000
```



No. 10
Below is an optimized crystal structure of Sc5Si2Hg, with properties calculated at the PBE level.

Output
energy: -38.99 eV per formula unit
space-group type: P4/mmm, No. 123

The structure in POSCAR format:
```
Sc5Si2Hg
1.0
6.648 0.000 0.000
0.000 6.648 0.000
0.000 0.000 4.765
Hg Sc Si
1 5 2
Cartesian
0.000 0.000 0.000
1.855 1.855 0.000
4.792 1.855 0.000
1.855 4.792 0.000
4.792 4.792 0.000
0.000 0.000 2.383
3.324 0.000 2.383
0.000 3.324 2.383
```



No. 11
Below is an optimized crystal structure of NdGdNO, with properties calculated at the PBE level.

Output
ΔE to the lowest computed polymorph: 546 meV per atom
space-group type: P4/nmm, No. 129

The structure in POSCAR format:
```
NdGdNO
1.0
3.059 -3.059 0.000
3.059 3.059 0.000
0.000 0.000 7.946
Gd N Nd O
2 2 2 2
Cartesian
1.530 0.000 0.804
4.589 0.000 7.142
4.589 0.000 2.804
1.530 0.000 5.142
3.059 -1.530 3.973
3.059 1.530 3.973
3.059 -1.530 0.000
3.059 1.530 0.000
```



No. 12
Below is an optimized crystal structure of TaBS, with properties calculated at the PBE level.

Output
energy: -25.47 eV per formula unit
space-group type: R-3m, No. 166

The structure in POSCAR format:
```
TaBS
1.0
1.027 -0.330 -3.017
-1.314 -2.215 -1.906
-7.015 7.810 -1.530
B S Ta
2 2 2
Cartesian
-3.549 3.475 -1.583
-3.753 1.791 -4.871
-1.551 -0.364 -3.886
-5.751 5.629 -2.567
-2.572 1.577 -2.744
-4.731 3.689 -3.709
```